1.
Compound: InGaSbO6
Source: the Alexandria database
Functional: PBE
Structure: optimized geometry

Lattice parameters (Å, degrees): 5.2504 5.2504 9.0985 90.00 90.00 120.00
Sites, in units of the cell vectors:
Ga1 0.6667 0.3333 0.2500
Ga2 0.3333 0.6667 0.7500
O1 0.3527 0.0007 0.1331
O2 0.6480 0.0007 0.3669
O3 0.3520 0.3527 0.8669
O4 0.0007 0.6480 0.8669
O5 0.9993 0.3520 0.1331
O6 0.0007 0.3527 0.6331
O7 0.6473 0.6480 0.6331
O8 0.3527 0.3520 0.3669
O9 0.9993 0.6473 0.3669
O10 0.6480 0.6473 0.1331
O11 0.6473 0.9993 0.8669
O12 0.3520 0.9993 0.6331
In1 0.0000 0.0000 0.0000
In2 0.0000 0.0000 0.5000
Sb1 0.3333 0.6667 0.2500
Sb2 0.6667 0.3333 0.7500

Properties
ΔE_f (raw) (eV per atom): -1.386
Space group: P-31c, No. 163

2.
Compound: Ac3BRh3Au2
Source: the Alexandria database
Functional: PBE
Structure: optimized geometry

Lattice parameters (Å, degrees): 3.6780 8.0103 8.0103 120.00 90.00 90.00
Sites, in units of the cell vectors:
Rh1 0.5000 0.8031 0.0000
Rh2 0.5000 0.0000 0.8031
Rh3 0.5000 0.1969 0.1969
Ac1 0.0000 0.0000 0.3599
Ac2 0.0000 0.3599 0.0000
Ac3 0.0000 0.6401 0.6401
B1 0.0000 0.0000 0.0000
Au1 0.5000 0.3333 0.6667
Au2 0.5000 0.6667 0.3333

Properties
Space group: P-62m, No. 189

3.
Compound: Ca3Ga2Pd3
Source: the Alexandria database
Functional: PBE
Structure: optimized geometry

Lattice parameters (Å, degrees): 4.4355 5.9105 14.3303 90.00 90.00 112.04
Sites, in units of the cell vectors:
Ga1 0.7841 0.5683 0.5916
Ga2 0.2159 0.4317 0.4084
Ga3 0.7841 0.5683 0.9084
Ga4 0.2159 0.4317 0.0916
Pd1 0.6693 0.3386 0.7500
Pd2 0.3821 0.7642 0.5399
Pd3 0.3821 0.7642 0.9601
Pd4 0.6179 0.2358 0.4601
Pd5 0.6179 0.2358 0.0399
Pd6 0.3307 0.6614 0.2500
Ca1 0.0795 0.1591 0.6088
Ca2 0.9205 0.8409 0.1088
Ca3 0.0795 0.1591 0.8912
Ca4 0.9205 0.8409 0.3912
Ca5 0.3655 0.7309 0.7500
Ca6 0.6345 0.2691 0.2500

Properties
Space group: Cmcm, No. 63

4.
Compound: CdTe2Pb
Source: the Alexandria database
Functional: PBE
Structure: optimized geometry

Lattice parameters (Å, degrees): 5.9232 3.2846 7.2816 63.21 90.00 90.00
Sites, in units of the cell vectors:
Cd1 0.0000 0.4400 0.3743
Te1 0.5000 0.2450 0.3753
Te2 0.0000 0.1013 0.8752
Pb1 0.5000 0.7138 0.8752

Properties
ΔE_f (raw) (eV per atom): -0.134
Space group: Pm, No. 6

5.
Compound: Bi4O5
Source: the Alexandria database
Functional: PBE
Structure: optimized geometry

Lattice parameters (Å, degrees): 4.1641 8.1686 8.1686 60.19 62.90 62.90
Sites, in units of the cell vectors:
O1 0.0000 0.3337 0.6663
O2 0.6484 0.8901 0.5568
O3 0.3516 0.4432 0.1099
O4 0.0000 0.6667 0.3333
O5 0.0000 0.9997 0.0003
Bi1 0.4445 0.7323 0.0161
Bi2 0.5555 0.6011 0.6505
Bi3 0.5555 0.9839 0.2677
Bi4 0.4445 0.3495 0.3989

Properties
ΔE_f (raw) (eV per atom): -0.605
Space group: C2/m, No. 12

6.
Compound: Rb3HCl3
Source: the Alexandria database
Functional: PBE
Structure: optimized geometry

Lattice parameters (Å, degrees): 8.3929 8.3929 8.4208 90.88 90.88 120.98
Sites, in units of the cell vectors:
Rb1 0.8759 0.5001 0.7449
Rb2 0.1241 0.4999 0.2551
Rb3 0.1085 0.1085 0.7708
Rb4 0.4999 0.1241 0.2551
Rb5 0.8915 0.8915 0.2292
Rb6 0.5001 0.8759 0.7449
H1 0.7181 0.7181 0.8559
H2 0.2819 0.2819 0.1441
Cl1 0.8361 0.1639 0.5000
Cl2 0.1787 0.8213 0.0000
Cl3 0.1639 0.8361 0.5000
Cl4 0.4934 0.4934 0.7432
Cl5 0.8213 0.1787 0.0000
Cl6 0.5066 0.5066 0.2568

Properties
Space group: C2/m, No. 12

Number 1: calculated total energy -5.79 eV/atom. Number 2: calculated total energy -5.81 eV/atom. Number 3: calculated total energy -4.18 eV/atom. Number 4: calculated total energy -2.86 eV/atom. Number 5: calculated total energy -5.08 eV/atom. Number 6: calculated total energy -2.98 eV/atom.